Record 1
DFT (PBE) results for an optimized crystal structure of SmCdCu.

Properties
Calculated formation energy (eV/atom): -0.12
Electronic total energy (eV/atom): -3.227

Unit cell a=6.9764 b=6.9764 c=4.6797 alpha=90.00 beta=90.00 gamma=120.00
With the nearest neighbours (Å) after each atom.
Sites, in units of the cell vectors:
1 Cd 0.6667 0.3333 0.0000  3 Cu 2.80, 6 Sm 3.11
2 Cd 0.3333 0.6667 0.0000  3 Cu 2.80, 6 Sm 3.11
3 Cd 0.0000 0.0000 0.5000  6 Cu 2.81, 3 Sm 3.07
4 Cu 0.2218 0.0000 0.0000  2 Cu 2.68, 4 Cd 2.80-2.81
5 Cu 0.0000 0.2218 0.0000  2 Cu 2.68, 4 Cd 2.80-2.81
6 Cu 0.7782 0.7782 0.0000  2 Cu 2.68, 4 Cd 2.80-2.81
7 Sm 0.5593 0.0000 0.5000  5 Cd 3.07-3.11, 2 Cu 3.32
8 Sm 0.4407 0.4407 0.5000  5 Cd 3.07-3.11, 2 Cu 3.32
9 Sm 0.0000 0.5593 0.5000  5 Cd 3.07-3.11, 2 Cu 3.32

---

Record 2
DFT (PBE) results for an optimized crystal structure of SmCdCu.

Properties
Calculated formation energy (eV/atom): 0.09
Electronic total energy (eV/atom): -3.016

Unit cell a=8.3569 b=8.3569 c=3.2666 alpha=90.00 beta=90.00 gamma=120.00
With the nearest neighbours (Å) after each atom.
Sites, in units of the cell vectors:
1 Cd 0.6667 0.3333 0.0000  3 Sm 2.92, 6 Cu 3.13, 2 Cd 3.27
2 Cd 0.3333 0.6667 0.0000  3 Sm 2.92, 6 Cu 3.13, 2 Cd 3.27
3 Cd 0.0000 0.0000 0.5000  6 Sm 3.01, 3 Cu 3.03, 2 Cd 3.27
4 Cu 0.6376 0.0000 0.5000  5 Cd 3.03-3.13, 6 Sm 3.24-3.25, 2 Cu 3.27
5 Cu 0.3624 0.3624 0.5000  5 Cd 3.03-3.13, 6 Sm 3.24-3.25, 2 Cu 3.27
6 Cu 0.0000 0.6376 0.5000  5 Cd 3.03-3.13, 6 Sm 3.24-3.25, 2 Cu 3.27
7 Sm 0.3024 0.0000 0.0000  4 Cd 2.92-3.01, 6 Cu 3.24-3.25, 2 Sm 3.27
8 Sm 0.0000 0.3024 0.0000  4 Cd 2.92-3.01, 6 Cu 3.24-3.25, 2 Sm 3.27
9 Sm 0.6976 0.6976 0.0000  4 Cd 2.92-3.01, 6 Cu 3.24-3.25, 2 Sm 3.27

---

Record 3
DFT (PBE) results for an optimized crystal structure of SmCdCu.

Properties
Calculated formation energy (eV/atom): -0.29
Electronic total energy (eV/atom): -3.394

Unit cell a=7.3629 b=7.3629 c=4.1362 alpha=90.00 beta=90.00 gamma=120.00
With the nearest neighbours (Å) after each atom.
Sites, in units of the cell vectors:
1 Cd 0.2467 0.0000 0.0000  4 Cu 2.75-2.83
2 Cd 0.0000 0.2467 0.0000  4 Cu 2.75-2.83
3 Cd 0.7533 0.7533 0.0000  4 Cu 2.75-2.83
4 Cu 0.6667 0.3333 0.0000  3 Cd 2.83, 6 Sm 3.03
5 Cu 0.3333 0.6667 0.0000  3 Cd 2.83, 6 Sm 3.03
6 Cu 0.0000 0.0000 0.5000  6 Cd 2.75, 3 Sm 3.05
7 Sm 0.5862 0.0000 0.5000  5 Cu 3.03-3.05, 6 Cd 3.24-3.37
8 Sm 0.4138 0.4138 0.5000  5 Cu 3.03-3.05, 6 Cd 3.24-3.37
9 Sm 0.0000 0.5862 0.5000  5 Cu 3.03-3.05, 6 Cd 3.24-3.37